# 1
TmSnAu4 (PBE-GGA, optimized geometry); ΔE to the lowest computed polymorph = 0.004 eV/atom
1.0
3.555 -2.538 0.000
3.555 2.538 0.000
-1.617 0.000 7.129
Tm Sn Au
1 1 4
direct
0.000 0.000 0.000
0.000 0.000 0.500
0.329 0.329 0.326
0.337 0.337 0.832
0.663 0.663 0.168
0.671 0.671 0.674

=====

# 2
La2Sb3 (PBE-GGA, optimized geometry); uncorrected formation energy = -584 meV per atom; ΔE to the lowest computed polymorph = 0.336 eV/atom
1.0
2.155 1.244 10.630
-2.155 1.244 10.630
0.000 -2.488 10.630
La Sb
2 3
direct
0.105 0.105 0.105
0.895 0.895 0.895
0.303 0.303 0.303
0.500 0.500 0.500
0.697 0.697 0.697

=====

# 3
LiZn2Tc (PBE-GGA, optimized geometry); ΔE to the lowest computed polymorph = 0.000 eV/atom
1.0
4.605 0.000 0.000
0.000 2.713 0.000
-1.035 0.000 4.501
Li Zn Tc
1 2 1
direct
0.000 0.000 0.000
0.000 0.500 0.500
0.500 0.500 0.000
0.500 0.000 0.500

=====

# 4
Sm2ZnInS5 (PBE-GGA, optimized geometry); uncorrected formation energy = -1315 meV per atom
1.0
1.948 -8.322 0.000
1.948 8.322 0.000
0.000 0.000 11.953
Sm Zn In S
4 2 2 10
direct
0.115 0.885 0.500
0.129 0.871 0.152
0.871 0.129 0.652
0.885 0.115 0.000
0.456 0.544 0.235
0.544 0.456 0.735
0.183 0.817 0.848
0.817 0.183 0.348
0.005 0.995 0.824
0.291 0.709 0.509
0.321 0.679 0.166
0.341 0.659 0.827
0.486 0.514 0.559
0.514 0.486 0.059
0.659 0.341 0.327
0.679 0.321 0.666
0.709 0.291 0.009
0.995 0.005 0.324

=====

# 5
Sc2TaMnFe (PBE-GGA, optimized geometry); calculated total energy = -6.91 eV/atom
1.0
5.067 0.000 0.000
0.000 5.067 0.000
0.000 0.000 4.358
Sc Ta Mn Fe
2 1 1 1
direct
0.000 0.500 0.000
0.500 0.000 0.000
0.000 0.000 0.000
0.500 0.500 0.500
0.000 0.000 0.500

=====

# 6
Sr3MnAs (PBE-GGA, optimized geometry); ΔE to the lowest computed polymorph = 0.000 eV/atom
1.0
5.983 0.000 0.000
0.000 5.983 0.000
0.000 0.000 5.983
Sr Mn As
3 1 1
direct
0.000 0.000 0.500
0.000 0.500 0.000
0.500 0.000 0.000
0.500 0.500 0.500
0.000 0.000 0.000

=====

# 7
Li2GaTcHg (PBE-GGA, optimized geometry); calculated total energy = -2.62 eV/atom
1.0
4.608 0.000 0.000
0.000 4.608 0.000
0.000 0.000 4.940
Li Ga Tc Hg
2 1 1 1
direct
0.000 0.500 0.000
0.500 0.000 0.000
0.000 0.000 0.000
0.500 0.500 0.500
0.000 0.000 0.500

=====

# 8
K2BeHgP (PBE-GGA, optimized geometry); ΔE to the lowest computed polymorph = 0.000 eV/atom
1.0
6.523 0.000 0.000
0.000 6.523 0.000
0.000 0.000 3.926
K Be Hg P
2 1 1 1
direct
0.000 0.500 0.000
0.500 0.000 0.000
0.000 0.000 0.500
0.500 0.500 0.500
0.000 0.000 0.000

=====

Repeat the second record exactly.
La2Sb3 (PBE-GGA, optimized geometry); uncorrected formation energy = -584 meV per atom; ΔE to the lowest computed polymorph = 0.336 eV/atom
1.0
2.155 1.244 10.630
-2.155 1.244 10.630
0.000 -2.488 10.630
La Sb
2 3
direct
0.105 0.105 0.105
0.895 0.895 0.895
0.303 0.303 0.303
0.500 0.500 0.500
0.697 0.697 0.697